*1*
# Th3TcPd (PBE-GGA, relaxed)
data_Th3TcPd
_symmetry_space_group_name_H-M 'P 1 21/m 1'
_symmetry_Int_Tables_number 11
_cell_length_a 8.2652
_cell_length_b 3.9305
_cell_length_c 8.5446
_cell_angle_alpha 90.00
_cell_angle_beta 112.25
_cell_angle_gamma 90.00
loop_
_symmetry_equiv_pos_as_xyz
'x,y,z'
'-x,-y,-z'
'-x,y+1/2,-z'
'x,-y+1/2,z'
loop_
_atom_site_label
_atom_site_type_symbol
_atom_site_fract_x
_atom_site_fract_y
_atom_site_fract_z
_atom_site_occupancy
Th1 Th 0.0385 0.2500 0.1734 1
Th2 Th 0.2120 0.7500 0.5742 1
Th3 Th 0.3963 0.7500 0.1194 1
Tc1 Tc 0.2264 0.2500 0.8349 1
Pd1 Pd 0.4013 0.2500 0.3953 1
# - M_tot: 0.0 μB/cell
# - Volume: 25.7 Å³ per atom
# - Mass density: 11.64 g/cm3
# - DOS at the Fermi energy: 0.86 states/eV per atom

=====

*2*
# Th3TcPd (PBE-GGA, relaxed)
data_Th3TcPd
_symmetry_space_group_name_H-M 'C 1 2/m 1'
_symmetry_Int_Tables_number 12
_cell_length_a 20.1480
_cell_length_b 3.9969
_cell_length_c 6.5191
_cell_angle_alpha 90.00
_cell_angle_beta 99.04
_cell_angle_gamma 90.00
loop_
_symmetry_equiv_pos_as_xyz
'x,y,z'
'-x,-y,-z'
'-x,y,-z'
'x,-y,z'
'x+1/2,y+1/2,z'
'-x+1/2,-y+1/2,-z'
'-x+1/2,y+1/2,-z'
'x+1/2,-y+1/2,z'
loop_
_atom_site_label
_atom_site_type_symbol
_atom_site_fract_x
_atom_site_fract_y
_atom_site_fract_z
_atom_site_occupancy
Th1 Th 0.0014 0.0000 0.2511 1
Th2 Th 0.1282 0.5000 0.5734 1
Th3 Th 0.1766 0.0000 0.0959 1
Tc1 Tc 0.0783 0.5000 0.0249 1
Pd1 Pd 0.2325 0.0000 0.6447 1
# - M_tot: 0.0 μB/cell
# - Volume: 25.9 Å³ per atom
# - Mass density: 11.54 g/cm3
# - DOS at the Fermi energy: 0.90 states/eV per atom

=====

Which is most stable? The ranking, best first, is *1*, *2*.

=====

*1*
# TiTc3Pd (PBE-GGA, relaxed)
data_TiTc3Pd
_symmetry_space_group_name_H-M 'P m -3 m'
_symmetry_Int_Tables_number 221
_symmetry_space_group_name_Hall '-P 4 2 3'
_cell_length_a 4.4664
_cell_length_b 4.4664
_cell_length_c 4.4664
_cell_angle_alpha 90.00
_cell_angle_beta 90.00
_cell_angle_gamma 90.00
loop_
_atom_site_label
_atom_site_type_symbol
_atom_site_fract_x
_atom_site_fract_y
_atom_site_fract_z
_atom_site_occupancy
Ti1 Ti 0.0000 0.0000 0.0000 1
Tc1 Tc 0.0000 0.0000 0.5000 1
Pd1 Pd 0.5000 0.5000 0.5000 1
# - M_tot: 0.0 μB/cell
# - Volume: 17.8 Å³ per atom
# - Mass density: 8.35 g/cm3
# - DOS at the Fermi energy: 1.06 states/eV per atom

=====

*2*
# TiTc3Pd (PBE-GGA, relaxed)
data_TiTc3Pd
_symmetry_space_group_name_H-M 'P m -3 m'
_symmetry_Int_Tables_number 221
_symmetry_space_group_name_Hall '-P 4 2 3'
_cell_length_a 4.6535
_cell_length_b 4.6535
_cell_length_c 4.6535
_cell_angle_alpha 90.00
_cell_angle_beta 90.00
_cell_angle_gamma 90.00
loop_
_atom_site_label
_atom_site_type_symbol
_atom_site_fract_x
_atom_site_fract_y
_atom_site_fract_z
_atom_site_occupancy
Ti1 Ti 0.0000 0.0000 0.0000 1
Tc1 Tc 0.0000 0.5000 0.5000 1
Pd1 Pd 0.5000 0.5000 0.5000 1
# - M_tot: 1.4 μB/cell
# - Volume: 20.2 Å³ per atom
# - Mass density: 7.39 g/cm3
# - DOS at the Fermi energy: 2.16 states/eV per atom

=====

Which is most stable? The ranking, best first, is *1*, *2*.

=====

*1*
# TlTcPd3 (PBE-GGA, relaxed)
data_TlTcPd3
_symmetry_space_group_name_H-M 'P m -3 m'
_symmetry_Int_Tables_number 221
_symmetry_space_group_name_Hall '-P 4 2 3'
_cell_length_a 4.8507
_cell_length_b 4.8507
_cell_length_c 4.8507
_cell_angle_alpha 90.00
_cell_angle_beta 90.00
_cell_angle_gamma 90.00
loop_
_atom_site_label
_atom_site_type_symbol
_atom_site_fract_x
_atom_site_fract_y
_atom_site_fract_z
_atom_site_occupancy
Tl1 Tl 0.0000 0.0000 0.0000 1
Tc1 Tc 0.5000 0.5000 0.5000 1
Pd1 Pd 0.0000 0.5000 0.5000 1
# - M_tot: 0.0 μB/cell
# - Volume: 22.8 Å³ per atom
# - Mass density: 9.04 g/cm3
# - DOS at the Fermi energy: 1.13 states/eV per atom

=====

*2*
# TlTcPd3 (PBE-GGA, relaxed)
data_TlTcPd3
_symmetry_space_group_name_H-M 'P m -3 m'
_symmetry_Int_Tables_number 221
_symmetry_space_group_name_Hall '-P 4 2 3'
_cell_length_a 4.9967
_cell_length_b 4.9967
_cell_length_c 4.9967
_cell_angle_alpha 90.00
_cell_angle_beta 90.00
_cell_angle_gamma 90.00
loop_
_atom_site_label
_atom_site_type_symbol
_atom_site_fract_x
_atom_site_fract_y
_atom_site_fract_z
_atom_site_occupancy
Tl1 Tl 0.0000 0.0000 0.0000 1
Tc1 Tc 0.5000 0.5000 0.5000 1
Pd1 Pd 0.0000 0.0000 0.5000 1
# - M_tot: 4.4 μB/cell
# - Volume: 24.9 Å³ per atom
# - Mass density: 8.27 g/cm3
# - DOS at the Fermi energy: 0.94 states/eV per atom

=====

Which is most stable? The ranking, best first, is *1*, *2*.